1.
## K2RuN (PBE)

Data for a relaxed K2RuN crystal.

Formation energy from raw total energies, meV per atom: 206
Space group: No. 122

POSCAR file:
```
K2RuN
1.0
-5.8107 5.8107 1.8735
5.8107 -5.8107 1.8735
5.8107 5.8107 -1.8735
K Ru N
4 2 2
Cartesian
-0.3279 2.9053 0.4684
2.9053 5.4828 1.4051
0.3279 8.7160 0.4684
-2.9053 6.1386 1.4051
5.8107 0.0000 0.9367
0.0000 0.0000 1.8735
0.0000 0.0000 0.0000
0.0000 5.8107 0.9367
```



2.
## V4Hg (PBE)

Data for a relaxed V4Hg crystal.

Space group: No. 221
ΔH_f (0 K), kJ/mol of formula units: 975

POSCAR file:
```
V4Hg
1.0
4.9815 0.0000 0.0000
0.0000 4.9815 0.0000
0.0000 0.0000 4.9815
V Hg
4 1
Cartesian
0.0000 0.0000 0.0000
0.0000 2.4908 2.4908
2.4908 0.0000 2.4908
2.4908 2.4908 0.0000
2.4908 2.4908 2.4908
```



3.
## KAs2Pt5 (PBE)

Data for a relaxed KAs2Pt5 crystal.

Space group: No. 71
ΔH_f (0 K), kJ/mol of formula units: -207

POSCAR file:
```
KAs2Pt5
1.0
-2.0520 3.6784 4.8687
2.0520 -3.6784 4.8687
2.0520 3.6784 -4.8687
K As Pt
1 2 5
Cartesian
0.0000 0.0000 0.0000
2.0520 0.0000 2.4026
0.0000 3.6784 2.4662
2.0520 2.2646 -1.4645
2.0520 2.2646 1.4645
0.0000 3.6784 0.0000
0.0000 1.4137 3.4043
0.0000 1.4137 6.3332
```



4.
## Ba2ZnHg4 (PBE)

Data for a relaxed Ba2ZnHg4 crystal.

Space group: No. 139
ΔH_f (0 K), kJ/mol of formula units: -202

POSCAR file:
```
Ba2ZnHg4
1.0
-2.6081 2.6081 8.8520
2.6081 -2.6081 8.8520
2.6081 2.6081 -8.8520
Ba Zn Hg
2 1 4
Cartesian
0.0000 0.0000 2.5059
0.0000 0.0000 15.1982
0.0000 0.0000 8.8520
2.6081 0.0000 0.0000
0.0000 0.0000 5.9932
0.0000 2.6081 0.0000
0.0000 0.0000 11.7109
```